{"formula": "CsZnIr2", "functional": "PBE-GGA", "state": "optimized geometry", "e_tot_ev_per_atom": -4.31, "space_group": "I-42d, No. 122", "density_g_cm3": 8.90, "lattice": [[-3.329, 2.403, 2.660], [-0.080, -3.679, 3.223], [4.956, 3.358, 7.667]], "species": ["Cs", "Ir", "Ir", "Zn", "Ir", "Ir", "Zn", "Cs"], "frac_coords": [[0.750, 0.250, 0.500], [0.403, 0.625, 0.250], [0.875, 0.597, 0.750], [0.500, 0.500, 0.000], [0.375, 0.653, 0.750], [0.347, 0.125, 0.250], [0.250, 0.750, 0.500], [0.000, 0.000, 0.000]]}